Entry from Alexandria via LeMat-Bulk: a relaxed LiDy2HoTe5 crystal (PBE-GGA).

Cell lengths 9.4508, 9.4508, 13.1691 Å; angles 90.00, 90.00, 153.61 degrees
Fractional positions:
1 Li 0.0569 0.9431 0.5000
2 Li 0.9431 0.0569 0.0000
3 Dy 0.3727 0.6273 0.3348
4 Dy 0.3944 0.6056 0.7208
5 Dy 0.6056 0.3944 0.2208
6 Dy 0.6273 0.3727 0.8348
7 Ho 0.3030 0.6970 0.0452
8 Ho 0.6970 0.3030 0.5452
9 Te 0.0025 0.9975 0.8197
10 Te 0.1374 0.8626 0.0354
11 Te 0.1884 0.8116 0.3798
12 Te 0.2180 0.7820 0.7061
13 Te 0.4541 0.5459 0.1117
14 Te 0.5459 0.4541 0.6117
15 Te 0.7820 0.2180 0.2061
16 Te 0.8116 0.1884 0.8798
17 Te 0.8626 0.1374 0.5354
18 Te 0.9975 0.0025 0.3197

Summary:
The space group is Cmc2_1 (36). The value obtained for the formation energy (no corrections) is -1.2272 eV/atom.

---

Entry from Alexandria via LeMat-Bulk: a relaxed TcAgGe2S crystal (PBE-GGA).

Cell lengths 4.9611, 4.9611, 4.7729 Å; angles 90.00, 90.00, 90.00 degrees
Fractional positions:
1 Tc 0.0000 0.0000 0.0000
2 Ag 0.5000 0.5000 0.5000
3 Ge 0.0000 0.5000 0.5000
4 Ge 0.5000 0.0000 0.5000
5 S 0.5000 0.5000 0.0000

Summary:
The space group is P4/mmm (123). The value obtained for the formation energy (no corrections) is 1.3185 eV/atom.

---

Entry from Alexandria via LeMat-Bulk: a relaxed IrRuS2Cl crystal (PBE-GGA).

Cell lengths 4.5718, 4.5718, 4.4706 Å; angles 90.00, 90.00, 90.00 degrees
Fractional positions:
1 Ir 0.0000 0.0000 0.0000
2 Ru 0.5000 0.5000 0.0000
3 S 0.0000 0.5000 0.5000
4 S 0.5000 0.0000 0.5000
5 Cl 0.0000 0.0000 0.5000

Summary:
The space group is P4/mmm (123). Its distance to the lowest polymorph of the same formula is 0.899 eV per atom. The value obtained for the formation energy (no corrections) is 1.8914 eV/atom.